An optimized crystal structure of TmTlCl4. Source: Alexandria via LeMat-Bulk, functional GGA-PBE.

Cell and atoms, written as POSCAR:
```
TmTlCl4
1.0
6.608 0.000 0.000
0.000 7.288 0.457
-3.304 -2.503 7.767
Tm Tl Cl
2 2 8
Direct
0.500 0.000 0.500
0.000 0.500 0.500
0.755 0.750 0.000
0.245 0.250 0.000
0.507 0.047 0.799
0.708 0.453 0.201
0.493 0.953 0.201
0.292 0.547 0.799
0.862 0.828 0.606
0.256 0.672 0.394
0.138 0.172 0.394
0.744 0.328 0.606
```

Calculated values
Magnetic moment (Bohr magnetons per cell): 0.00
Space-group type: C2/c
Crystal system: monoclinic
Calculated total energy (eV per cell): -50.8
E_form (uncorrected) (eV/atom): -1.861